No. 1
DFT (PBE) results for AcDy2Hg4 after structural relaxation.

The total moment is 0.0000 μB/atom. As for the total energy: -34.20 eV for the cell shown. The value obtained for the formation energy is -0.368 eV per atom. The calculation puts the density of states at the Fermi level at 0.58 states/eV per atom.

It has space group Cmmm (No. 65), with a = 7.299 Å, b = 11.115 Å, c = 5.202 Å, α = 90.00°, β = 90.00° and γ = 90.00°. Symmetry generates all atoms from Ac at (0.000, 0.000, 0.000), Dy at (0.000, 0.260, 0.500), Hg at (0.215, 0.500, 0.500) and Hg at (0.250, 0.250, 0.000).

=====

No. 2
DFT (PBE) results for AcDyHg4 after structural relaxation.

The total moment is 0.0000 μB/atom. As for the total energy: -11.15 eV for the cell shown. The value obtained for the formation energy is -0.206 eV per atom. The calculation puts the density of states at the Fermi level at 0.73 states/eV per atom.

It has space group P4/mmm (No. 123), with a = 4.586 Å, b = 4.586 Å, c = 9.086 Å, α = 90.00°, β = 90.00° and γ = 90.00°. Symmetry generates all atoms from Ac at (0.000, 0.000, 0.000), Dy at (0.500, 0.500, 0.500) and Hg at (0.000, 0.500, 0.272).

=====

No. 3
DFT (PBE) results for Ac2Dy3Hg4 after structural relaxation.

The total moment is 0.0000 μB/atom. As for the total energy: -105.89 eV for the cell shown. The value obtained for the formation energy is -0.360 eV per atom. The calculation puts the density of states at the Fermi level at 1.05 states/eV per atom.

It has space group Cmce (No. 64), with a = 7.180 Å, b = 17.979 Å, c = 8.525 Å, α = 90.00°, β = 90.00° and γ = 90.00°. Symmetry generates all atoms from Ac at (0.000, 0.099, 0.090), Dy at (0.000, 0.000, 0.500), Dy at (0.250, 0.234, 0.750), Hg at (0.000, 0.173, 0.471) and Hg at (0.250, 0.062, 0.750).